[1]
Compound: Li3H2Pd2
Source: the Alexandria database
Functional: PBE-GGA
Structure: optimized geometry

The value obtained for the raw total energy is -101.17 eV/cell. The total moment comes out at 0.00 Bohr magnetons per cell.

The space group is Pbcm (No. 57) and the conventional cell measures 4.5500, 7.0794 and 10.9132 Å, with angles of 90.00, 90.00 and 90.00 degrees. The inequivalent atoms are Li at (0.2437, 0.1184, 0.2500), Li at (0.2533, 0.0644, 0.5623), H at (0.0310, 0.7500, 0.0000), H at (0.4785, 0.6510, 0.7500) and Pd at (0.2567, 0.7162, 0.6255).


[2]
Compound: Li5H12Pd3
Source: the Alexandria database
Functional: PBE-GGA
Structure: optimized geometry

The value obtained for the raw total energy is -528.09 eV/cell. The total moment comes out at 0.00 Bohr magnetons per cell.

The space group is Ia-3d (No. 230) and the conventional cell measures 10.9223, 10.9223 and 10.9223 Å, with angles of 90.00, 90.00 and 90.00 degrees. The inequivalent atoms are Li at (0.0000, 0.0000, 0.0000), Li at (0.0000, 0.2500, 0.3750), H at (0.0232, 0.0950, 0.6458) and Pd at (0.0000, 0.2500, 0.1250).


[3]
Compound: LiH4Pd5
Source: the Alexandria database
Functional: PBE-GGA
Structure: optimized geometry

The value obtained for the raw total energy is -85.34 eV/cell. The total moment comes out at 0.00 Bohr magnetons per cell. The value obtained for the relative energy among the computed polymorphs is 0.066 eV per atom.

The space group is Pmmn (No. 59, origin choice 2) and the conventional cell measures 5.5739, 8.0406 and 4.7219 Å, with angles of 90.00, 90.00 and 90.00 degrees. The inequivalent atoms are Li at (0.2500, 0.2500, 0.2087), H at (0.0239, 0.7500, 0.4959), H at (0.2500, 0.5250, 0.9510), Pd at (0.0016, 0.5799, 0.2495) and Pd at (0.2500, 0.7500, 0.7660).


What did the third record say?
Compound: LiH4Pd5
Source: the Alexandria database
Functional: PBE-GGA
Structure: optimized geometry

The value obtained for the raw total energy is -85.34 eV/cell. The total moment comes out at 0.00 Bohr magnetons per cell. The value obtained for the relative energy among the computed polymorphs is 0.066 eV per atom.

The space group is Pmmn (No. 59, origin choice 2) and the conventional cell measures 5.5739, 8.0406 and 4.7219 Å, with angles of 90.00, 90.00 and 90.00 degrees. The inequivalent atoms are Li at (0.2500, 0.2500, 0.2087), H at (0.0239, 0.7500, 0.4959), H at (0.2500, 0.5250, 0.9510), Pd at (0.0016, 0.5799, 0.2495) and Pd at (0.2500, 0.7500, 0.7660).